Record 1
Below is LaCrSe2Br at its PBEsol-relaxed geometry, with properties calculated at the meta-GGA SCAN level.

Unit cell a=5.6481 b=5.6766 c=5.6766 alpha=90.00 beta=90.00 gamma=90.00
With the nearest neighbours (Å) after each atom.
Fractional positions:
1 Cr 0.5000 0.5000 0.5000  8 Se 4.00, 4 Br 4.01
2 Se 0.0000 0.0000 0.5000  2 La 2.84
3 Se 0.0000 0.5000 0.0000  2 La 2.84
4 Br 0.5000 0.0000 0.0000  2 La 2.82
5 La 0.0000 0.0000 0.0000  2 Br 2.82, 4 Se 2.84

theoretical density = 3.91 g/cm³
magnetization = 3.99 μB/cell
E_form (uncorrected) = -0.587 eV per atom
raw total energy = -124.04 eV/cell
Fermi-level density of states = 4.719 states/eV/cell

---

Record 2
Below is SrTlCdP2 at its PBEsol-relaxed geometry, with properties calculated at the meta-GGA SCAN level.

Unit cell a=5.0007 b=5.0007 c=5.6643 alpha=90.00 beta=90.00 gamma=90.00
With the nearest neighbours (Å) after each atom.
Fractional positions:
1 Sr 0.0000 0.0000 0.5000  2 Cd 2.83
2 Tl 0.5000 0.5000 0.5000  4 Sr 3.54, 8 P 3.78
3 P 0.0000 0.5000 0.0000  2 Cd 2.50
4 P 0.5000 0.0000 0.0000  2 Cd 2.50
5 Cd 0.0000 0.0000 0.0000  4 P 2.50

theoretical density = 5.47 g/cm³
magnetization = 0.00 μB/cell
raw total energy = -143.80 eV/cell
Fermi-level density of states = 2.876 states/eV/cell

---

Record 3
Below is MgTa2IrF at its PBEsol-relaxed geometry, with properties calculated at the meta-GGA SCAN level.

Unit cell a=4.3172 b=4.7704 c=4.7704 alpha=90.00 beta=90.00 gamma=90.00
With the nearest neighbours (Å) after each atom.
Fractional positions:
1 Mg 0.0000 0.0000 0.0000  2 Ir 2.16, 4 Ta 2.39
2 Ir 0.5000 0.0000 0.0000  2 Mg 2.16
3 F 0.5000 0.5000 0.5000  8 Ta 3.22, 4 Ir 3.37
4 Ta 0.0000 0.0000 0.5000  2 Mg 2.39
5 Ta 0.0000 0.5000 0.0000  2 Mg 2.39

theoretical density = 10.10 g/cm³
magnetization = 0.00 μB/cell
E_form (uncorrected) = 1.906 eV per atom
raw total energy = -203.25 eV/cell
Fermi-level density of states = 4.185 states/eV/cell